Computed, not measured: an optimized crystal structure of Zr6TcMo at the PBE level of DFT.

Cell: 4.7360 4.7360 8.1648 Å, 72.64 72.64 90.00°
With the nearest neighbours (Å) after each atom.
Atoms (fractional coordinates):
Zr  0.7473  0.7474  0.5054  12 Zr 3.14-3.35
Zr  0.6042  0.1043  0.7848  2 Tc 2.83-2.88, 2 Mo 2.83-2.88, 2 Zr 3.14-3.15
Zr  0.1043  0.6042  0.7848  2 Tc 2.83-2.88, 2 Mo 2.83-2.88, 2 Zr 3.14-3.15
Zr  0.3958  0.8957  0.2152  2 Tc 2.83-2.88, 2 Mo 2.83-2.88, 2 Zr 3.14-3.15
Zr  0.2527  0.2526  0.4946  12 Zr 3.14-3.35
Zr  0.8957  0.3958  0.2152  2 Tc 2.83-2.88, 2 Mo 2.83-2.88, 2 Zr 3.14-3.15
Tc  0.0000  0.0000  0.0000  8 Zr 2.83-2.88
Mo  0.5000  0.5000  0.0000  8 Zr 2.83-2.88

Computed properties:
**Total magnetic moment**: 0.0 μB/f.u.
**Density**: 7.4 Mg/m³
**SG**: No. 12
**DFT formation energy**: -81 meV/atom